This record from Alexandria describes KRb4Hg after structural relaxation. The functional is PBE-GGA.

Results
energy above the lowest structure with this stoichiometry = 0.000 kcal/mol of atoms
symmetry = C2/c (15)

```
KRb4Hg
1.0
-7.582 3.287 0.039
2.099 -5.992 -10.812
-0.417 -5.974 8.834
K Rb Hg
2 8 2
Direct
0.361 0.611 0.221
0.639 0.389 0.779
0.726 0.352 0.179
0.274 0.648 0.821
0.953 0.827 0.179
0.622 0.062 0.337
0.784 0.725 0.663
0.378 0.938 0.663
0.216 0.275 0.337
0.047 0.173 0.821
0.253 0.003 0.006
0.747 0.997 0.994
```

This record from Alexandria describes K5Rb3Hg2 after structural relaxation. The functional is PBE-GGA.

Results
symmetry = P4/mbm (127)

```
K5Rb3Hg2
1.0
5.419 0.000 0.000
0.000 15.014 0.000
0.000 0.000 15.014
Hg K Rb
4 10 6
Direct
0.000 0.121 0.621
0.000 0.879 0.379
0.000 0.379 0.121
0.000 0.621 0.879
0.500 0.500 0.000
0.500 0.223 0.075
0.500 0.000 0.500
0.500 0.777 0.925
0.500 0.575 0.723
0.500 0.277 0.575
0.500 0.425 0.277
0.500 0.075 0.777
0.500 0.723 0.425
0.500 0.925 0.223
0.000 0.669 0.169
0.000 0.000 0.000
0.000 0.831 0.669
0.000 0.500 0.500
0.000 0.169 0.331
0.000 0.331 0.831
```

Number 1: spin magnetization 0.00 μB per formula unit, E_form -63.0 meV/atom. Number 2: spin magnetization 0.00 μB per formula unit, E_form -89.6 meV/atom.